SrLi3Cu: optimized geometry, PBE.

Unit cell a=4.961 b=4.961 c=4.961 alpha=90.00 beta=90.00 gamma=90.00
Fractional coordinates of all 5 atoms:
Sr 0.000 0.000 0.000
Li 0.000 0.500 0.500
Li 0.500 0.000 0.500
Li 0.500 0.500 0.000
Cu 0.500 0.500 0.500

Properties
The energy of formation from the pure elements is 0.08 eV/atom. For the density of states at the Fermi level, the calculation gives 3.18 states/eV per cell. The volume comes out at 24.4 Å³/atom. Its distance to the lowest polymorph of the same formula is 72 meV per atom. As for the space group: Pm-3m.